{"formula": "KBeRe", "functional": "PBE", "state": "relaxed", "relative_energy_mev_per_atom": 0, "spacegroup": "No. 216", "lattice": [[6.343, 0.000, 0.000], [0.000, 6.343, 0.000], [0.000, 0.000, 6.343]], "species": ["K", "K", "K", "K", "Be", "Be", "Be", "Be", "Re", "Re", "Re", "Re"], "frac_coords": [[0.000, 0.000, 0.000], [0.000, 0.500, 0.500], [0.500, 0.000, 0.500], [0.500, 0.500, 0.000], [0.250, 0.250, 0.250], [0.250, 0.750, 0.750], [0.750, 0.250, 0.750], [0.750, 0.750, 0.250], [0.000, 0.000, 0.500], [0.000, 0.500, 0.000], [0.500, 0.000, 0.000], [0.500, 0.500, 0.500]]}



{"formula": "KBeRe", "functional": "PBE", "state": "relaxed", "relative_energy_mev_per_atom": 171, "spacegroup": "No. 216", "lattice": [[6.402, 0.000, 0.000], [0.000, 6.402, 0.000], [0.000, 0.000, 6.402]], "species": ["K", "K", "K", "K", "Be", "Be", "Be", "Be", "Re", "Re", "Re", "Re"], "frac_coords": [[0.000, 0.000, 0.000], [0.000, 0.500, 0.500], [0.500, 0.000, 0.500], [0.500, 0.500, 0.000], [0.000, 0.000, 0.500], [0.000, 0.500, 0.000], [0.500, 0.000, 0.000], [0.500, 0.500, 0.500], [0.250, 0.250, 0.750], [0.250, 0.750, 0.250], [0.750, 0.250, 0.250], [0.750, 0.750, 0.750]]}



{"formula": "KTbBeS3", "functional": "PBE", "state": "relaxed", "spacegroup": "No. 63", "dft_energy_ev_per_atom": -5.20, "lattice": [[1.935, -7.093, 0.000], [1.935, 7.093, 0.000], [0.000, 0.000, 10.502]], "species": ["K", "K", "Tb", "Tb", "Be", "Be", "S", "S", "S", "S", "S", "S"], "frac_coords": [[0.242, 0.758, 0.750], [0.758, 0.242, 0.250], [0.500, 0.500, 0.000], [0.500, 0.500, 0.500], [0.039, 0.961, 0.250], [0.961, 0.039, 0.750], [0.120, 0.880, 0.084], [0.120, 0.880, 0.416], [0.446, 0.554, 0.250], [0.554, 0.446, 0.750], [0.880, 0.120, 0.584], [0.880, 0.120, 0.916]]}



{"formula": "KZrBeS3", "functional": "PBE", "state": "relaxed", "spacegroup": "No. 63", "dft_energy_ev_per_atom": -5.58, "lattice": [[1.800, -7.207, 0.000], [1.800, 7.207, 0.000], [0.000, 0.000, 9.941]], "species": ["K", "K", "Zr", "Zr", "Be", "Be", "S", "S", "S", "S", "S", "S"], "frac_coords": [[0.238, 0.762, 0.750], [0.762, 0.238, 0.250], [0.500, 0.500, 0.000], [0.500, 0.500, 0.500], [0.042, 0.958, 0.250], [0.958, 0.042, 0.750], [0.122, 0.878, 0.074], [0.122, 0.878, 0.426], [0.450, 0.550, 0.250], [0.550, 0.450, 0.750], [0.878, 0.122, 0.574], [0.878, 0.122, 0.926]]}



- Which formula does entry 4 have?
  KZrBeS3